The following is a GGA-PBE calculation of Tb6MgZn after structural relaxation, from the Alexandria database.

```
Tb6MgZn
1.0
8.419 0.323 -0.188
4.464 7.770 0.022
4.190 2.749 3.563
Tb Mg Zn
6 1 1
Direct
0.973 0.555 0.715
0.757 0.974 0.824
0.555 0.243 0.228
0.243 0.026 0.176
0.027 0.445 0.285
0.445 0.757 0.772
0.500 0.500 0.500
0.000 0.000 0.000
```

**Magnetic moment**: 0.0 μB/f.u.
**Formation enthalpy at 0 K**: 0.018 eV/atom
**Energy above the most stable polymorph in this dataset**: 95 meV per atom

***

The following is a GGA-PBE calculation of ZnPt2W after structural relaxation, from the Alexandria database.

```
ZnPt2W
1.0
-1.374 1.380 2.022
2.338 -2.494 3.291
3.356 3.239 0.070
Pt W Zn
2 1 1
Direct
0.000 0.000 0.000
0.500 0.500 0.000
0.500 0.000 0.500
0.000 0.500 0.500
```

**Magnetic moment**: 0.0 μB/f.u.
**Formation enthalpy at 0 K**: 0.078 eV/atom

***

The following is a GGA-PBE calculation of Sr2TlCu3As4 after structural relaxation, from the Alexandria database.

```
Sr2TlCu3As4
1.0
4.533 0.000 0.000
0.000 4.533 0.000
0.000 0.000 10.452
Sr Tl Cu As
2 1 3 4
Direct
0.500 0.000 0.230
0.000 0.500 0.770
0.500 0.500 0.500
0.000 0.000 0.500
0.500 0.000 0.890
0.000 0.500 0.110
0.500 0.500 0.000
0.000 0.000 0.000
0.500 0.000 0.654
0.000 0.500 0.346
```

**Magnetic moment**: 0.0 μB/f.u.
**Formation enthalpy at 0 K**: -0.407 eV/atom

***

The following is a GGA-PBE calculation of Tb2Sm3Y6Zr after structural relaxation, from the Alexandria database.

```
Tb2Sm3Y6Zr
1.0
-1.233 4.033 4.472
-3.480 -0.123 -5.065
-5.448 -8.985 5.199
Tb Sm Y Zr
2 3 6 1
Direct
0.333 0.667 0.000
0.667 0.333 0.000
0.166 0.834 0.500
0.834 0.166 0.500
0.500 0.500 0.500
0.919 0.593 0.757
0.754 0.754 0.243
0.081 0.407 0.243
0.593 0.919 0.757
0.246 0.246 0.757
0.407 0.081 0.243
0.000 0.000 0.000
```

**Magnetic moment**: 0.0 μB/f.u.
**Formation enthalpy at 0 K**: 0.048 eV/atom

***

The following is a GGA-PBE calculation of Ti4Rh2N after structural relaxation, from the Alexandria database.

```
Ti4Rh2N
1.0
3.023 0.000 0.000
0.000 6.761 0.000
0.000 0.000 9.927
Ti Rh N
8 4 2
Direct
0.000 0.640 0.810
0.000 0.360 0.190
0.000 0.140 0.690
0.000 0.860 0.310
0.500 0.815 0.562
0.500 0.185 0.438
0.500 0.685 0.062
0.500 0.315 0.938
0.500 0.951 0.862
0.500 0.049 0.138
0.500 0.451 0.638
0.500 0.549 0.362
0.000 0.000 0.500
0.000 0.500 0.000
```

**Magnetic moment**: 0.0 μB/f.u.
**Energy relative to the elements, uncorrected**: -847 meV/atom

***

The following is a GGA-PBE calculation of Sm2GaNi16 after structural relaxation, from the Alexandria database.

```
Sm2GaNi16
1.0
-2.272 -4.010 -4.302
-4.358 -2.695 3.673
-4.878 3.535 -1.859
Sm Ga Ni
2 1 16
Direct
0.654 0.654 0.654
0.341 0.341 0.341
0.908 0.908 0.908
0.705 0.000 0.296
0.000 0.296 0.705
0.296 0.705 0.000
0.000 0.705 0.296
0.705 0.296 0.000
0.296 0.000 0.705
0.343 0.846 0.343
0.846 0.343 0.343
0.343 0.343 0.846
0.656 0.153 0.656
0.153 0.656 0.656
0.656 0.656 0.153
0.999 0.501 0.999
0.501 0.999 0.999
0.999 0.999 0.501
0.101 0.101 0.101
```

**Magnetic moment**: 4.6 μB/f.u.
**Formation enthalpy at 0 K**: -0.229 eV/atom

***

| no. | DOS at the Fermi energy (states/eV per atom) |
| --- | --- |
| 1 | 0.97 |
| 2 | 1.06 |
| 3 | 0.23 |
| 4 | 1.33 |
| 5 | 1.03 |
| 6 | 1.32 |